# 1
{
  "formula": "Cd2GeAsS",
  "functional": "PBE",
  "state": "relaxed",
  "raw_formation_energy_ev_per_atom": 0.437,
  "cell": [[4.9847, 0.0000, 0.0000], [0.0000, 4.9847, 0.0000], [0.0000, 0.0000, 5.0867]],
  "species": ["Cd", "Cd", "Ge", "As", "S"],
  "fractional_positions": [[0.0000, 0.5000, 0.0000], [0.5000, 0.0000, 0.0000], [0.0000, 0.0000, 0.5000], [0.5000, 0.5000, 0.5000], [0.0000, 0.0000, 0.0000]]
}

---

# 2
{
  "formula": "AlSiPN4",
  "functional": "PBE",
  "state": "relaxed",
  "raw_formation_energy_ev_per_atom": -0.359,
  "e_above_lowest_polymorph_ev_per_atom": 0.4218,
  "cell": [[10.7313, 0.0000, 0.0000], [0.0000, 2.9099, 0.0000], [-2.1146, 0.0000, 4.5945]],
  "species": ["Al", "Al", "Si", "Si", "P", "P", "N", "N", "N", "N", "N", "N", "N", "N"],
  "fractional_positions": [[0.0000, 0.0000, 0.0000], [0.5000, 0.5000, 0.0000], [0.1475, 0.5000, 0.6604], [0.6475, 0.0000, 0.6604], [0.3042, 0.5000, 0.3536], [0.8042, 0.0000, 0.3536], [0.0227, 0.5000, 0.2681], [0.1047, 0.0000, 0.7863], [0.3182, 0.5000, 0.6972], [0.3930, 0.0000, 0.3123], [0.5227, 0.0000, 0.2681], [0.6047, 0.5000, 0.7863], [0.8182, 0.0000, 0.6972], [0.8930, 0.5000, 0.3123]]
}

---

# 3
{
  "formula": "NaNbMoSe2",
  "functional": "PBE",
  "state": "relaxed",
  "raw_formation_energy_ev_per_atom": 0.937,
  "e_above_lowest_polymorph_ev_per_atom": 0.0000,
  "cell": [[4.8673, 0.0000, 0.0000], [0.0000, 4.8673, 0.0000], [0.0000, 0.0000, 5.1834]],
  "species": ["Na", "Nb", "Mo", "Se", "Se"],
  "fractional_positions": [[0.0000, 0.0000, 0.0000], [0.5000, 0.5000, 0.0000], [0.0000, 0.0000, 0.5000], [0.0000, 0.5000, 0.5000], [0.5000, 0.0000, 0.5000]]
}

---

# 4
{
  "formula": "Tm4CdPd7",
  "functional": "PBE",
  "state": "relaxed",
  "formation_enthalpy_0k_ev_per_atom": -0.686,
  "cell": [[5.3932, -2.5785, 0.0000], [5.3932, 2.5785, 0.0000], [-5.0619, 0.0000, 8.9111]],
  "species": ["Tm", "Tm", "Tm", "Tm", "Cd", "Pd", "Pd", "Pd", "Pd", "Pd", "Pd", "Pd"],
  "fractional_positions": [[0.0934, 0.0934, 0.2861], [0.2853, 0.2853, 0.8630], [0.7147, 0.7147, 0.1370], [0.9066, 0.9066, 0.7139], [0.5000, 0.5000, 0.5000], [0.0000, 0.0000, 0.5000], [0.1321, 0.1321, 0.0204], [0.2890, 0.2890, 0.5942], [0.4242, 0.4242, 0.1852], [0.5758, 0.5758, 0.8148], [0.7110, 0.7110, 0.4058], [0.8679, 0.8679, 0.9796]]
}

---

# 5
{
  "formula": "Tb4ScGa5",
  "functional": "PBE",
  "state": "relaxed",
  "formation_enthalpy_0k_ev_per_atom": -0.586,
  "cell": [[3.5261, 0.0000, 0.0000], [0.0000, 3.5261, 0.0000], [0.0000, 0.0000, 17.8673]],
  "species": ["Tb", "Tb", "Tb", "Tb", "Sc", "Ga", "Ga", "Ga", "Ga", "Ga"],
  "fractional_positions": [[0.0000, 0.0000, 0.1033], [0.0000, 0.0000, 0.3093], [0.0000, 0.0000, 0.6907], [0.0000, 0.0000, 0.8967], [0.0000, 0.0000, 0.5000], [0.5000, 0.5000, 0.0000], [0.5000, 0.5000, 0.2068], [0.5000, 0.5000, 0.4144], [0.5000, 0.5000, 0.5856], [0.5000, 0.5000, 0.7932]]
}

---

# 6
{
  "formula": "La2Ho2Cd15",
  "functional": "PBE",
  "state": "relaxed",
  "formation_enthalpy_0k_ev_per_atom": -0.174,
  "cell": [[5.0887, 2.9380, 5.2574], [-5.0887, 2.9380, 5.2574], [0.0000, -5.8759, 5.2574]],
  "species": ["La", "La", "Ho", "Ho", "Cd", "Cd", "Cd", "Cd", "Cd", "Cd", "Cd", "Cd", "Cd", "Cd", "Cd", "Cd", "Cd", "Cd", "Cd"],
  "fractional_positions": [[0.1692, 0.1692, 0.1692], [0.8308, 0.8308, 0.8308], [0.4007, 0.4007, 0.4007], [0.5993, 0.5993, 0.5993], [0.0000, 0.5000, 0.5000], [0.1323, 0.1323, 0.6514], [0.1323, 0.6514, 0.1323], [0.2082, 0.5000, 0.7918], [0.2082, 0.7918, 0.5000], [0.3486, 0.8677, 0.8677], [0.5000, 0.0000, 0.5000], [0.5000, 0.2082, 0.7918], [0.5000, 0.5000, 0.0000], [0.5000, 0.7918, 0.2082], [0.6514, 0.1323, 0.1323], [0.7918, 0.2082, 0.5000], [0.7918, 0.5000, 0.2082], [0.8677, 0.3486, 0.8677], [0.8677, 0.8677, 0.3486]]
}

---

# 7
{
  "formula": "La15PrSn4",
  "functional": "PBE",
  "state": "relaxed",
  "formation_enthalpy_0k_ev_per_atom": -0.379,
  "cell": [[5.0585, 0.0000, 0.0000], [0.0000, 5.0585, 0.0000], [0.0000, 0.0000, 25.6585]],
  "species": ["La", "La", "La", "La", "La", "La", "La", "La", "La", "La", "La", "La", "La", "La", "La", "Pr", "Sn", "Sn", "Sn", "Sn"],
  "fractional_positions": [[0.0000, 0.0000, 0.0000], [0.0000, 0.0000, 0.2079], [0.0000, 0.0000, 0.4023], [0.0000, 0.0000, 0.5977], [0.0000, 0.0000, 0.7921], [0.0000, 0.5000, 0.1079], [0.0000, 0.5000, 0.3050], [0.0000, 0.5000, 0.5000], [0.0000, 0.5000, 0.6950], [0.0000, 0.5000, 0.8921], [0.5000, 0.0000, 0.1079], [0.5000, 0.0000, 0.3050], [0.5000, 0.0000, 0.5000], [0.5000, 0.0000, 0.6950], [0.5000, 0.0000, 0.8921], [0.5000, 0.5000, 0.0000], [0.5000, 0.5000, 0.2062], [0.5000, 0.5000, 0.4025], [0.5000, 0.5000, 0.5975], [0.5000, 0.5000, 0.7938]]
}

---

# 8
{
  "formula": "CaMgV3",
  "functional": "PBE",
  "state": "relaxed",
  "formation_enthalpy_0k_ev_per_atom": 1.481,
  "e_above_lowest_polymorph_ev_per_atom": 0.0000,
  "cell": [[5.0531, 0.0000, 0.0000], [0.0000, 5.0531, 0.0000], [0.0000, 0.0000, 5.0531]],
  "species": ["Ca", "Mg", "V", "V", "V"],
  "fractional_positions": [[0.0000, 0.0000, 0.0000], [0.5000, 0.5000, 0.5000], [0.0000, 0.5000, 0.5000], [0.5000, 0.0000, 0.5000], [0.5000, 0.5000, 0.0000]]
}

---

# 9
{
  "formula": "Na3NpCl7",
  "functional": "PBE",
  "state": "relaxed",
  "raw_formation_energy_ev_per_atom": -1.648,
  "cell": [[4.6149, -6.8839, 0.0000], [4.6149, 6.8839, 0.0000], [0.0000, 0.0000, 10.1596]],
  "species": ["Na", "Na", "Na", "Na", "Na", "Na", "Np", "Np", "Cl", "Cl", "Cl", "Cl", "Cl", "Cl", "Cl", "Cl", "Cl", "Cl", "Cl", "Cl", "Cl", "Cl"],
  "fractional_positions": [[0.0000, 0.0000, 0.0000], [0.0000, 0.0000, 0.5000], [0.0208, 0.4778, 0.2500], [0.4778, 0.0208, 0.7500], [0.5222, 0.9792, 0.2500], [0.9792, 0.5222, 0.7500], [0.5000, 0.5000, 0.0000], [0.5000, 0.5000, 0.5000], [0.1185, 0.8815, 0.7500], [0.1721, 0.8279, 0.2500], [0.1734, 0.4255, 0.5393], [0.1734, 0.4255, 0.9607], [0.4255, 0.1734, 0.0393], [0.4255, 0.1734, 0.4607], [0.4365, 0.5635, 0.2500], [0.5635, 0.4365, 0.7500], [0.5745, 0.8266, 0.5393], [0.5745, 0.8266, 0.9607], [0.8266, 0.5745, 0.0393], [0.8266, 0.5745, 0.4607], [0.8279, 0.1721, 0.7500], [0.8815, 0.1185, 0.2500]]
}

---

# 10
{
  "formula": "NiGeSb",
  "functional": "PBE",
  "state": "relaxed",
  "raw_formation_energy_ev_per_atom": -0.098,
  "e_above_lowest_polymorph_ev_per_atom": 0.0806,
  "cell": [[6.0974, 0.0000, 0.0000], [0.0000, 6.0974, 0.0000], [0.0000, 0.0000, 6.0974]],
  "species": ["Ni", "Ni", "Ni", "Ni", "Ge", "Ge", "Ge", "Ge", "Sb", "Sb", "Sb", "Sb"],
  "fractional_positions": [[0.0000, 0.0000, 0.0000], [0.0000, 0.5000, 0.5000], [0.5000, 0.0000, 0.5000], [0.5000, 0.5000, 0.0000], [0.2500, 0.2500, 0.7500], [0.2500, 0.7500, 0.2500], [0.7500, 0.2500, 0.2500], [0.7500, 0.7500, 0.7500], [0.2500, 0.2500, 0.2500], [0.2500, 0.7500, 0.7500], [0.7500, 0.2500, 0.7500], [0.7500, 0.7500, 0.2500]]
}

---

# 11
{
  "formula": "FeHg2Pt",
  "functional": "PBE",
  "state": "relaxed",
  "formation_enthalpy_0k_ev_per_atom": 0.290,
  "cell": [[4.2147, 0.0000, 0.0000], [0.0000, 4.2147, 0.0000], [0.0000, 0.0000, 8.0051]],
  "species": ["Fe", "Fe", "Hg", "Hg", "Hg", "Hg", "Pt", "Pt"],
  "fractional_positions": [[0.0000, 0.0000, 0.0000], [0.5000, 0.5000, 0.5000], [0.0000, 0.0000, 0.5000], [0.0000, 0.5000, 0.7500], [0.5000, 0.0000, 0.2500], [0.5000, 0.5000, 0.0000], [0.0000, 0.5000, 0.2500], [0.5000, 0.0000, 0.7500]]
}

---

# 12
{
  "formula": "LaSi4Pd12",
  "functional": "PBE",
  "state": "relaxed",
  "raw_formation_energy_ev_per_atom": -0.466,
  "cell": [[-4.2093, 4.2093, 4.2093], [4.2093, -4.2093, 4.2093], [4.2093, 4.2093, -4.2093]],
  "species": ["La", "Si", "Si", "Si", "Si", "Pd", "Pd", "Pd", "Pd", "Pd", "Pd", "Pd", "Pd", "Pd", "Pd", "Pd", "Pd"],
  "fractional_positions": [[0.0000, 0.0000, 0.0000], [0.0000, 0.0000, 0.5000], [0.0000, 0.5000, 0.0000], [0.5000, 0.0000, 0.0000], [0.5000, 0.5000, 0.5000], [0.1675, 0.5082, 0.3407], [0.1675, 0.8269, 0.6593], [0.1731, 0.3407, 0.8325], [0.3407, 0.1675, 0.5082], [0.3407, 0.8325, 0.1731], [0.4918, 0.6593, 0.8325], [0.5082, 0.3407, 0.1675], [0.6593, 0.1675, 0.8269], [0.6593, 0.8325, 0.4918], [0.8269, 0.6593, 0.1675], [0.8325, 0.1731, 0.3407], [0.8325, 0.4918, 0.6593]]
}

---

# 13
{
  "formula": "BaCuIr",
  "functional": "PBE",
  "state": "relaxed",
  "formation_enthalpy_0k_ev_per_atom": 0.222,
  "e_above_lowest_polymorph_ev_per_atom": 0.2913,
  "cell": [[3.4626, 0.0000, 0.0000], [0.0000, 3.5692, 0.0000], [0.0000, 0.0000, 10.9002]],
  "species": ["Ba", "Ba", "Cu", "Cu", "Ir", "Ir"],
  "fractional_positions": [[0.0000, 0.0000, 0.0000], [0.5000, 0.5000, 0.5000], [0.0000, 0.0000, 0.7280], [0.5000, 0.5000, 0.2280], [0.0000, 0.0000, 0.2820], [0.5000, 0.5000, 0.7820]]
}

---

# 14
{
  "formula": "LaSn4Pd6",
  "functional": "PBE",
  "state": "relaxed",
  "formation_enthalpy_0k_ev_per_atom": -0.660,
  "e_above_lowest_polymorph_ev_per_atom": 0.0000,
  "cell": [[7.6961, 0.0000, 0.0000], [-3.8481, 6.6651, 0.0000], [0.0000, 0.0000, 4.2782]],
  "species": ["La", "Sn", "Sn", "Sn", "Sn", "Pd", "Pd", "Pd", "Pd", "Pd", "Pd"],
  "fractional_positions": [[0.0000, 0.0000, 0.0000], [0.3333, 0.6667, 0.0000], [0.3879, 0.1939, 0.5000], [0.8061, 0.1939, 0.5000], [0.8061, 0.6121, 0.5000], [0.2036, 0.4071, 0.5000], [0.2036, 0.7964, 0.5000], [0.5376, 0.0752, 0.0000], [0.5376, 0.4624, 0.0000], [0.5929, 0.7964, 0.5000], [0.9248, 0.4624, 0.0000]]
}

---

# 15
{
  "formula": "CsBa3B",
  "functional": "PBE",
  "state": "relaxed",
  "formation_enthalpy_0k_ev_per_atom": 0.464,
  "e_above_lowest_polymorph_ev_per_atom": 0.0000,
  "cell": [[6.3787, 0.0000, 0.0000], [0.0000, 6.3787, 0.0000], [0.0000, 0.0000, 6.3787]],
  "species": ["Cs", "Ba", "Ba", "Ba", "B"],
  "fractional_positions": [[0.0000, 0.0000, 0.0000], [0.0000, 0.5000, 0.5000], [0.5000, 0.0000, 0.5000], [0.5000, 0.5000, 0.0000], [0.5000, 0.5000, 0.5000]]
}

---

# 16
{
  "formula": "Sc2ReTc",
  "functional": "PBE",
  "state": "relaxed",
  "formation_enthalpy_0k_ev_per_atom": -0.136,
  "e_above_lowest_polymorph_ev_per_atom": 0.0236,
  "cell": [[3.0442, 0.0000, 0.0000], [0.0000, 3.0442, 0.0000], [0.0000, 0.0000, 8.3175]],
  "species": ["Sc", "Sc", "Re", "Tc"],
  "fractional_positions": [[0.0000, 0.0000, 0.0000], [0.5000, 0.5000, 0.3620], [0.5000, 0.5000, 0.7676], [0.0000, 0.0000, 0.5920]]
}

---

# 17
{
  "formula": "BOsN",
  "functional": "PBE",
  "state": "relaxed",
  "raw_formation_energy_ev_per_atom": 0.398,
  "cell": [[6.3366, 0.0000, 0.0000], [0.0000, 2.5998, 0.0000], [0.0000, 0.0000, 7.5759]],
  "species": ["B", "B", "B", "B", "Os", "Os", "Os", "Os", "N", "N", "N", "N"],
  "fractional_positions": [[0.1207, 0.2500, 0.0681], [0.3793, 0.7500, 0.5681], [0.6207, 0.2500, 0.4319], [0.8793, 0.7500, 0.9319], [0.0526, 0.7500, 0.6358], [0.4474, 0.2500, 0.1358], [0.5526, 0.7500, 0.8642], [0.9474, 0.2500, 0.3642], [0.0091, 0.2500, 0.8743], [0.4909, 0.7500, 0.3743], [0.5091, 0.2500, 0.6257], [0.9909, 0.7500, 0.1257]]
}